NiPb2C2O6: optimized geometry, GGA+U.

Cell: 5.1208 5.6204 6.2365 Å, 96.27 90.00 117.10°
Site moments in Bohr magnetons follow the coordinates.
Positions (direct):
Pb1 0.2885 0.5771 0.7809  -0.10
Pb2 0.7115 0.4229 0.2191  -0.10
O1 0.7254 0.8875 0.2681  0.01
O2 0.2746 0.1125 0.7319  0.01
O3 0.8380 0.1125 0.7319  0.01
O4 0.8597 0.7193 0.7357  -0.01
O5 0.1403 0.2807 0.2643  -0.01
O6 0.1620 0.8875 0.2681  0.01
Ni1 0.5000 0.0000 0.5000  1.15
C1 0.9877 0.9753 0.7320  0.00
C2 0.0123 0.0247 0.2680  0.00

Computed properties:
Crystal system: monoclinic
Symmetry: No. 12
Calculated total energy in eV/atom: -6.346


PrNiC2O6: optimized geometry, GGA+U.

Cell: 4.9187 4.9187 6.1811 Å, 66.55 66.55 60.00°
Site moments in Bohr magnetons follow the coordinates.
Positions (direct):
O1 0.7107 0.0408 0.7359  0.01
O2 0.9592 0.4875 0.2641  0.01
O3 0.5125 0.7107 0.7359  0.01
O4 0.0408 0.5125 0.7359  0.01
O5 0.2893 0.9592 0.2641  0.01
O6 0.4875 0.2893 0.2641  0.01
Ni1 0.5000 0.5000 0.5000  1.50
Pr1 0.0000 0.0000 0.0000  -0.10
C1 0.7590 0.7590 0.7230  -0.10
C2 0.2410 0.2410 0.2770  -0.10

Computed properties:
Crystal system: trigonal
Symmetry: No. 148
Calculated total energy in eV/atom: -7.197


RbNi2C2O6: optimized geometry, GGA+U.

Cell: 6.9774 7.1316 5.3065 Å, 87.52 70.88 43.99°
Site moments in Bohr magnetons follow the coordinates.
Positions (direct):
Rb1 0.5000 0.0000 0.5000  0.00
Ni1 0.7325 0.2480 0.7544  1.41
Ni2 0.2675 0.7520 0.2456  1.41
O1 0.1624 0.1170 0.1291  0.03
O2 0.8376 0.8830 0.8709  0.03
O3 0.2062 0.8404 0.6429  0.03
O4 0.7314 0.4220 0.0629  0.03
O5 0.7938 0.1596 0.3571  0.03
O6 0.2686 0.5780 0.9371  0.03
C1 0.8978 0.2369 0.1845  0.00
C2 0.1022 0.7631 0.8155  0.00

Computed properties:
Crystal system: triclinic
Symmetry: No. 2
Calculated total energy in eV/atom: -6.110


Rb3NiC2O6: optimized geometry, GGA+U.

Cell: 5.6761 5.6761 7.0575 Å, 90.00 90.00 120.00°
Site moments in Bohr magnetons follow the coordinates.
Positions (direct):
Rb1 0.0000 0.0000 0.0000  0.00
Rb2 0.3333 0.6667 0.7158  0.00
Rb3 0.6667 0.3333 0.2842  0.00
O1 0.3995 0.1998 0.7054  0.01
O2 0.8002 0.6005 0.7054  0.01
O3 0.6005 0.8002 0.2946  0.01
O4 0.8002 0.1998 0.7054  0.01
O5 0.1998 0.8002 0.2946  0.01
O6 0.1998 0.3995 0.2946  0.01
C1 0.3333 0.6667 0.2937  -0.01
C2 0.6667 0.3333 0.7063  -0.01
Ni1 0.0000 0.0000 0.5000  1.18

Computed properties:
Crystal system: trigonal
Symmetry: No. 164
Calculated total energy in eV/atom: -5.774


RbNi3C4O12: optimized geometry, GGA+U.

Cell: 6.1995 6.1995 6.1995 Å, 101.39 101.39 101.39°
Site moments in Bohr magnetons follow the coordinates.
Positions (direct):
O1 0.7815 0.9956 0.5798  -0.05
O2 0.0044 0.2185 0.4202  -0.05
O3 0.9076 0.5000 0.0924  -0.01
O4 0.5000 0.3647 0.6353  -0.02
O5 0.9956 0.5798 0.7815  -0.05
O6 0.2185 0.4202 0.0044  -0.05
O7 0.5798 0.7815 0.9956  -0.05
O8 0.0924 0.9076 0.5000  -0.01
O9 0.5000 0.0924 0.9076  -0.01
O10 0.3647 0.6353 0.5000  -0.02
O11 0.4202 0.0044 0.2185  -0.05
O12 0.6353 0.5000 0.3647  -0.02
C1 0.5000 0.9544 0.0456  0.01
C2 0.9544 0.0456 0.5000  0.01
C3 0.0456 0.5000 0.9544  0.01
C4 0.5000 0.5000 0.5000  0.02
Ni1 0.0000 0.5464 0.4536  1.79
Ni2 0.4536 0.0000 0.5464  1.79
Ni3 0.5464 0.4536 0.0000  1.79
Rb1 0.0000 0.0000 0.0000  0.00

Computed properties:
Crystal system: trigonal
Symmetry: No. 155
Calculated total energy in eV/atom: -6.539


NiC2SO: optimized geometry, GGA+U.

Cell: 3.4602 5.1081 3.4602 Å, 90.00 90.00 90.00°
Positions (direct):
C1 0.0000 0.0000 0.5000
C2 0.5000 0.0000 0.0000
S1 0.0000 0.5000 0.0000
O1 0.5000 0.5000 0.5000
Ni1 0.0000 0.0000 0.0000

Computed properties:
Crystal system: tetragonal
Symmetry: No. 123
Calculated total energy in eV/atom: -3.794


Sr2NiC2O6: optimized geometry, GGA+U.

Cell: 5.1507 5.2690 5.8565 Å, 117.44 90.00 119.26°
Site moments in Bohr magnetons follow the coordinates.
Positions (direct):
O1 0.7806 0.5613 0.6998  0.01
O2 0.7956 0.0463 0.7829  0.03
O3 0.2194 0.4387 0.3002  0.01
O4 0.7493 0.9537 0.2171  0.03
O5 0.2044 0.9537 0.2171  0.03
O6 0.2507 0.0463 0.7829  0.03
C1 0.0392 0.0784 0.1597  0.02
C2 0.9608 0.9216 0.8403  0.02
Ni1 0.5000 0.0000 0.5000  1.79
Sr1 0.2724 0.5448 0.7832  0.00
Sr2 0.7276 0.4552 0.2168  0.00

Computed properties:
Crystal system: monoclinic
Symmetry: No. 12
Calculated total energy in eV/atom: -6.709


TbNiC2O8: optimized geometry, GGA+U.

Cell: 5.0918 5.0918 6.0333 Å, 90.00 90.00 120.00°
Site moments in Bohr magnetons follow the coordinates.
Positions (direct):
Ni1 0.0000 0.0000 0.5000  1.78
O1 0.3333 0.6667 0.4369  0.69
O2 0.6667 0.3333 0.5631  0.69
O3 0.1835 0.8165 0.7374  0.24
O4 0.3670 0.1835 0.2626  0.24
O5 0.8165 0.6330 0.2626  0.24
O6 0.8165 0.1835 0.2626  0.24
O7 0.6330 0.8165 0.7374  0.24
O8 0.1835 0.3670 0.7374  0.24
C1 0.3333 0.6667 0.6654  -0.03
C2 0.6667 0.3333 0.3346  -0.03
Tb1 0.0000 0.0000 0.0000  0.02

Computed properties:
Crystal system: trigonal
Symmetry: No. 164
Calculated total energy in eV/atom: -6.608


TbNi3C4O12: optimized geometry, GGA+U.

Cell: 6.1185 6.1185 6.1185 Å, 102.71 102.71 102.71°
Site moments in Bohr magnetons follow the coordinates.
Positions (direct):
O1 0.3642 0.6358 0.5000  0.04
O2 0.8179 0.0359 0.6335  0.02
O3 0.5000 0.3642 0.6358  0.04
O4 0.6335 0.8179 0.0359  0.02
O5 0.9641 0.1821 0.3665  0.02
O6 0.6358 0.5000 0.3642  0.04
O7 0.5000 0.0923 0.9077  0.03
O8 0.9077 0.5000 0.0923  0.03
O9 0.0359 0.6335 0.8179  0.02
O10 0.1821 0.3665 0.9641  0.02
O11 0.3665 0.9641 0.1821  0.02
O12 0.0923 0.9077 0.5000  0.03
C1 0.9572 0.0428 0.5000  -0.03
C2 0.0428 0.5000 0.9572  -0.03
C3 0.5000 0.5000 0.5000  0.01
C4 0.5000 0.9572 0.0428  -0.03
Ni1 0.5416 0.4584 0.0000  1.59
Ni2 0.0000 0.5416 0.4584  1.59
Ni3 0.4584 0.0000 0.5416  1.59
Tb1 0.0000 0.0000 0.0000  -0.01

Computed properties:
Crystal system: trigonal
Symmetry: No. 155
Calculated total energy in eV/atom: -6.932


TcNi2CO: optimized geometry, GGA+U.

Cell: 3.4908 4.5675 3.4908 Å, 90.00 90.00 90.00°
Site moments in Bohr magnetons follow the coordinates.
Positions (direct):
Ni1 0.5000 0.0000 0.0000  0.50
Ni2 0.0000 0.0000 0.5000  0.72
C1 0.0000 0.5000 0.0000  -0.08
O1 0.0000 0.0000 0.0000  -0.11
Tc1 0.5000 0.5000 0.5000  1.48

Computed properties:
Energy above the most stable polymorph in this dataset in meV per atom: 302
Crystal system: tetragonal
Symmetry: No. 123
Calculated total energy in eV/atom: -4.738


TcNi2CO: optimized geometry, GGA+U.

Cell: 3.7914 4.0550 3.7914 Å, 90.00 90.00 90.00°
Site moments in Bohr magnetons follow the coordinates.
Positions (direct):
Tc1 0.0000 0.5000 0.0000  1.19
Ni1 0.5000 0.0000 0.0000  0.97
Ni2 0.0000 0.0000 0.5000  1.00
O1 0.5000 0.5000 0.5000  0.04
C1 0.0000 0.0000 0.0000  -0.06

Computed properties:
Energy above the most stable polymorph in this dataset in meV per atom: 0
Crystal system: tetragonal
Symmetry: No. 123
Calculated total energy in eV/atom: -5.040


TlNiCO4: optimized geometry, GGA+U.

Cell: 7.7663 6.8009 6.8009 Å, 64.81 55.18 55.18°
Site moments in Bohr magnetons follow the coordinates.
Positions (direct):
O1 0.2289 0.2059 0.7059  0.06
O2 0.3472 0.2415 0.0640  0.00
O3 0.7711 0.7941 0.2941  0.06
O4 0.1407 0.7941 0.2941  0.06
O5 0.6528 0.7585 0.9360  0.00
O6 0.6528 0.4360 0.2585  0.00
O7 0.3472 0.5640 0.7415  0.00
O8 0.8593 0.2059 0.7059  0.06
Ni1 0.5000 0.0000 0.5000  1.54
Ni2 0.0000 0.0000 0.5000  1.54
C1 0.6460 0.6040 0.1040  0.00
C2 0.3540 0.3960 0.8960  0.00
Tl1 0.0000 0.5000 0.5000  0.02
Tl2 0.0000 0.0000 0.0000  0.02

Computed properties:
Crystal system: orthorhombic
Symmetry: No. 74
Calculated total energy in eV/atom: -5.513


TmNiC2O8: optimized geometry, GGA+U.

Cell: 5.0569 5.0569 5.9748 Å, 90.00 90.00 120.00°
Site moments in Bohr magnetons follow the coordinates.
Positions (direct):
Tm1 0.0000 0.0000 0.0000  0.02
Ni1 0.0000 0.0000 0.5000  1.78
O1 0.6352 0.8176 0.7450  0.24
O2 0.6667 0.3333 0.5572  0.69
O3 0.8176 0.1824 0.2550  0.24
O4 0.3333 0.6667 0.4428  0.69
O5 0.1824 0.3648 0.7450  0.24
O6 0.8176 0.6352 0.2550  0.24
O7 0.1824 0.8176 0.7450  0.24
O8 0.3648 0.1824 0.2550  0.24
C1 0.6667 0.3333 0.3264  -0.03
C2 0.3333 0.6667 0.6736  -0.03

Computed properties:
Crystal system: trigonal
Symmetry: No. 164
Calculated total energy in eV/atom: -6.612